# 1
! Cr2CoAs meta-GGA SCAN PBEsol geometry; values from VASP
&SYSTEM
  ibrav = 0, nat = 4, ntyp = 3
/
ATOMIC_SPECIES
Cr 52.00 Cr.upf
Co 58.93 Co.upf
As 74.92 As.upf
CELL_PARAMETERS angstrom
2.7510 0.0000 0.0000
0.0000 2.7510 0.0000
0.0000 0.0000 6.1082
ATOMIC_POSITIONS crystal
Cr 0.0000 0.0000 0.2473
Cr 0.0000 0.0000 0.7527
Co 0.5000 0.5000 0.5000
As 0.5000 0.5000 0.0000
! - energy of formation (meV per atom) = 310

# 2
! MgAu3F meta-GGA SCAN PBEsol geometry; values from VASP
&SYSTEM
  ibrav = 0, nat = 5, ntyp = 3
/
ATOMIC_SPECIES
Mg 24.30 Mg.upf
Au 196.97 Au.upf
F 19.00 F.upf
CELL_PARAMETERS angstrom
4.8046 0.0000 0.0000
0.0000 4.8046 0.0000
0.0000 0.0000 4.8046
ATOMIC_POSITIONS crystal
Mg 0.0000 0.0000 0.0000
Au 0.0000 0.0000 0.5000
Au 0.0000 0.5000 0.0000
Au 0.5000 0.0000 0.0000
F 0.5000 0.5000 0.5000
! - formation energy without anion corrections (eV/f.u.) = 2.43

# 3
! FeAs2Cl meta-GGA SCAN PBEsol geometry; values from VASP
&SYSTEM
  ibrav = 0, nat = 4, ntyp = 3
/
ATOMIC_SPECIES
Fe 55.84 Fe.upf
As 74.92 As.upf
Cl 35.45 Cl.upf
CELL_PARAMETERS angstrom
2.9434 0.0000 0.0000
0.0000 4.6154 0.0000
0.0000 0.0000 4.8805
ATOMIC_POSITIONS crystal
Fe 0.0000 0.0000 0.0000
As 0.0000 0.5000 0.5000
As 0.5000 0.5000 0.0000
Cl 0.5000 0.0000 0.5000
! - ΔE to the lowest computed polymorph (meV/atom) = 224
! - formation energy without anion corrections (eV/f.u.) = 1.59

# 4
! Li2As meta-GGA SCAN PBEsol geometry; values from VASP
&SYSTEM
  ibrav = 0, nat = 6, ntyp = 2
/
ATOMIC_SPECIES
Li 6.94 Li.upf
As 74.92 As.upf
CELL_PARAMETERS angstrom
1.4430 -7.1439 0.0000
1.4430 7.1439 0.0000
0.0000 0.0000 4.3213
ATOMIC_POSITIONS crystal
Li 0.0528 0.9472 0.7500
Li 0.2747 0.7253 0.2500
Li 0.7253 0.2747 0.7500
Li 0.9472 0.0528 0.2500
As 0.3792 0.6208 0.7500
As 0.6208 0.3792 0.2500
! - energy of formation (meV per atom) = -679
! - ΔE to the lowest computed polymorph (meV/atom) = 45

In the order shown, the computed volume values come out to 11.56; 22.18; 16.58; 14.85 Å³ per atom.
In the order shown, the computed N(E_F) values come out to 0.50; 0.77; 0.52; 0.27 states/eV per atom.